The following is a DFT calculation (GGA-PBE) of crystalline Al2GeRh2 at its relaxed geometry.

Cell lengths 7.2822, 7.2822, 2.8832 Å; angles 90.00, 90.00, 90.00 degrees
Last column: nearest neighbours and their distance in Å.
Space group P4/mbm (No. 127)
Inequivalent atoms, fractional coordinates:
Al (0.1384, 0.3616, 0.0000)  6 Rh 2.57-2.58, 2 Ge 2.82, 1 Al 2.85
Ge (0.0000, 0.0000, 0.0000)  4 Al 2.82, 2 Ge 2.88, 8 Rh 3.11
Rh (0.1540, 0.6540, 0.5000)  6 Al 2.57-2.58

Values from the calculation:
ΔE to the lowest computed polymorph ... 0.088 eV/atom
Density of states at the Fermi level ... 5.5 states/eV/cell

***

The following is a DFT calculation (GGA-PBE) of crystalline SrRe2SiI at its relaxed geometry.

Cell lengths 5.9659, 5.9659, 5.9689 Å; angles 90.00, 90.00, 90.00 degrees
Last column: nearest neighbours and their distance in Å.
Space group P4/mmm (No. 123)
Inequivalent atoms, fractional coordinates:
Sr (0.0000, 0.0000, 0.0000)  4 Re 2.98, 2 I 2.98
Re (0.0000, 0.5000, 0.0000)  2 Sr 2.98
Si (0.5000, 0.5000, 0.5000)  4 I 4.22, 8 Re 4.22
I (0.0000, 0.0000, 0.5000)  2 Sr 2.98

Values from the calculation:
Formation energy (no corrections) ... 2.948 eV/atom
Density of states at the Fermi level ... 4.7 states/eV/cell

***

The following is a DFT calculation (GGA-PBE) of crystalline Li2TmAsO at its relaxed geometry.

Cell lengths 4.0794, 4.0794, 4.4994 Å; angles 90.00, 90.00, 90.00 degrees
Last column: nearest neighbours and their distance in Å.
Space group P4/mmm (No. 123)
Inequivalent atoms, fractional coordinates:
Li (0.0000, 0.5000, 0.0000)  2 O 2.04
Tm (0.0000, 0.0000, 0.5000)  2 O 2.25
As (0.5000, 0.5000, 0.5000)  4 Tm 2.88, 8 Li 3.04
O (0.0000, 0.0000, 0.0000)  4 Li 2.04, 2 Tm 2.25

Values from the calculation:
Formation energy (no corrections) ... -1.766 eV/atom
Density of states at the Fermi level ... 0.6 states/eV/cell